Here is TlCrSi2 after structural relaxation from Alexandria. Energies are from PBE.

a b c (Å): 4.375 4.375 6.269
angles (deg): 61.31 61.31 45.24
Sites, in units of the cell vectors:
Cr1 0.312 0.312 0.012
Si1 0.964 0.964 0.143
Si2 0.673 0.673 0.859
Tl1 0.551 0.551 0.486

Calculated values
**Formation energy from raw total energies**: 28.8 kJ/mol of atoms
**Offset from the most stable computed form**: 0.25 eV per formula unit